Here is an optimized crystal structure of V2OsO from Alexandria via LeMat-Bulk. Energies are from PBE with a Hubbard U.

abc: 5.8735 5.8735 5.3229
angles: 56.51 56.51 90.00
Sites, in units of the cell vectors:
O: 0.5000 0.5000 0.0000
O: 0.2500 0.7500 0.5000
V: 0.5448 0.1250 0.2500
V: 0.2052 0.6250 0.2500
V: 0.3750 0.4552 0.7500
V: 0.8750 0.7948 0.7500
Os: 0.0000 0.0000 0.0000
Os: 0.7500 0.2500 0.5000

Summary:
**Final energy**: -7.661 eV/atom
**Volume**: 14.4 A^3/atom
**Total magnetic moment**: 6.9 μB/cell